LaRe2Rh: optimized geometry, PBE-GGA.

Cell lengths 5.6076, 5.6076, 5.6076 Å; angles 147.32, 125.67, 64.86 degrees
Fractional coordinates of all 4 atoms:
La 0.0000 0.0000 0.0000
Re 0.2887 0.7887 0.5000
Re 0.4895 0.4895 0.0000
Rh 0.7200 0.2200 0.5000

energy above the lowest structure with this stoichiometry	345	meV/atom
formation energy from the elements	0.44	eV per atom
E_tot	-8.85	eV per atom

LaRe2Rh: optimized geometry, PBE-GGA.

Cell lengths 4.6725, 4.6725, 4.6725 Å; angles 60.00, 60.00, 60.00 degrees
Fractional coordinates of all 4 atoms:
La 0.0000 0.0000 0.0000
Re 0.2500 0.2500 0.2500
Re 0.5000 0.5000 0.5000
Rh 0.7500 0.7500 0.7500

energy above the lowest structure with this stoichiometry	350	meV/atom
formation energy from the elements	0.45	eV per atom
E_tot	-8.85	eV per atom

LaReRh2: optimized geometry, PBE-GGA.

Cell lengths 8.8687, 8.8687, 8.8687 Å; angles 148.07, 148.07, 45.78 degrees
Fractional coordinates of all 8 atoms:
La 0.0000 0.0000 0.0000
La 0.7500 0.2500 0.5000
Re 0.2500 0.7500 0.5000
Re 0.5000 0.5000 0.0000
Rh 0.2845 0.6250 0.1595
Rh 0.3750 0.5345 0.6595
Rh 0.4655 0.1250 0.8405
Rh 0.8750 0.7155 0.3405

energy above the lowest structure with this stoichiometry	370	meV/atom
formation energy from the elements	0.33	eV per atom
E_tot	-7.69	eV per atom

LaReRh2: optimized geometry, PBE-GGA.

Cell lengths 5.0881, 5.0881, 5.0881 Å; angles 131.93, 131.93, 70.34 degrees
Fractional coordinates of all 4 atoms:
La 0.0000 0.0000 0.0000
Re 0.2500 0.7500 0.5000
Rh 0.5000 0.5000 0.0000
Rh 0.7500 0.2500 0.5000

energy above the lowest structure with this stoichiometry	303	meV/atom
formation energy from the elements	0.26	eV per atom
E_tot	-7.76	eV per atom

LaRe2Rh: optimized geometry, PBE-GGA.

Cell lengths 10.2812, 10.2812, 10.2812 Å; angles 15.87, 15.87, 15.87 degrees
Fractional coordinates of all 4 atoms:
La 0.0000 0.0000 0.0000
Re 0.2377 0.2377 0.2377
Re 0.7623 0.7623 0.7623
Rh 0.5000 0.5000 0.5000

energy above the lowest structure with this stoichiometry	488	meV/atom
formation energy from the elements	0.58	eV per atom
E_tot	-8.71	eV per atom

LaReRh2: optimized geometry, PBE-GGA.

Cell lengths 2.9364, 2.9364, 8.1975 Å; angles 90.00, 90.00, 90.00 degrees
Fractional coordinates of all 4 atoms:
La 0.0000 0.0000 0.0000
Re 0.0000 0.0000 0.5000
Rh 0.5000 0.5000 0.2913
Rh 0.5000 0.5000 0.7087

energy above the lowest structure with this stoichiometry	0	meV/atom
formation energy from the elements	-0.04	eV per atom
E_tot	-8.06	eV per atom

LaRe2Rh: optimized geometry, PBE-GGA.

Cell lengths 9.8340, 9.8340, 9.8340 Å; angles 16.94, 16.94, 16.94 degrees
Fractional coordinates of all 4 atoms:
La 0.0000 0.0000 0.0000
Re 0.5016 0.5016 0.5016
Re 0.7635 0.7635 0.7635
Rh 0.2415 0.2415 0.2415

energy above the lowest structure with this stoichiometry	297	meV/atom
formation energy from the elements	0.39	eV per atom
E_tot	-8.90	eV per atom

LaRe2Rh: optimized geometry, PBE-GGA.

Cell lengths 3.8378, 3.8378, 5.1019 Å; angles 90.00, 90.00, 90.00 degrees
Fractional coordinates of all 4 atoms:
La 0.0000 0.0000 0.0000
Re 0.0000 0.5000 0.5000
Re 0.5000 0.0000 0.5000
Rh 0.5000 0.5000 0.0000

energy above the lowest structure with this stoichiometry	376	meV/atom
formation energy from the elements	0.47	eV per atom
E_tot	-8.82	eV per atom

Taking the records one at a time from the top gives Fermi-level density of states values of 4.777, 5.201, 4.977, 5.327, 5.333, 5.213, 3.574, 3.660 states/eV/f.u..